(1)
KAlZn2 (GGA-PBEsol, optimized geometry); N(E_F) = 1.11 states/eV/f.u.; crystal system = trigonal; calculated total energy = -8.212 eV per cell; space group = R-3m
1.0
2.183 1.260 6.065
-2.183 1.260 6.065
0.000 -2.521 6.065
K Al Zn
1 1 2
direct
0.000 0.000 0.000
0.500 0.500 0.500
0.186 0.186 0.186
0.814 0.814 0.814

---

(2)
BaAsH (GGA-PBEsol, optimized geometry); crystal system = trigonal; calculated total energy = -12.688 eV per cell; space group = R3m
1.0
2.480 1.432 3.539
-2.480 1.432 3.539
0.000 -2.864 3.539
Ba As H
1 1 1
direct
0.000 0.000 0.000
0.497 0.497 0.497
0.349 0.349 0.349

---

(3)
LuZn12 (GGA-PBEsol, optimized geometry); N(E_F) = 2.54 states/eV/f.u.; crystal system = tetragonal; calculated total energy = -26.092 eV per cell; space group = I4/mmm
1.0
-4.355 4.355 2.509
4.355 -4.355 2.509
4.355 4.355 -2.509
Lu Zn
1 12
direct
0.000 0.000 0.000
0.000 0.000 0.500
0.000 0.353 0.353
0.000 0.500 0.000
0.000 0.647 0.647
0.286 0.500 0.786
0.353 0.000 0.353
0.500 0.000 0.000
0.500 0.286 0.786
0.500 0.500 0.500
0.500 0.714 0.214
0.647 0.000 0.647
0.714 0.500 0.214

---

(4)
Ga2Pt2Pb (GGA-PBEsol, optimized geometry); N(E_F) = 1.77 states/eV/f.u.; crystal system = tetragonal; calculated total energy = -26.775 eV per cell; space group = I4/mmm
1.0
-1.936 1.936 6.084
1.936 -1.936 6.084
1.936 1.936 -6.084
Ga Pt Pb
2 2 1
direct
0.250 0.750 0.500
0.750 0.250 0.500
0.116 0.116 0.000
0.884 0.884 0.000
0.500 0.500 0.000

---

(5)
CrRu2 (GGA-PBEsol, optimized geometry); N(E_F) = 4.41 states/eV/f.u.; crystal system = tetragonal; calculated total energy = -28.059 eV per cell; space group = P4/mmm
1.0
3.957 0.000 0.000
0.000 3.957 0.000
0.000 0.000 2.790
Cr Ru
1 2
direct
0.000 0.000 0.000
0.000 0.500 0.500
0.500 0.000 0.500

---

(6)
PtW2Br (GGA-PBEsol, optimized geometry); N(E_F) = 3.37 states/eV/f.u.; crystal system = tetragonal; formation energy without anion corrections = 4.74 eV per formula unit; space group = P4/mmm
1.0
3.821 0.000 0.000
0.000 3.821 0.000
0.000 0.000 4.506
Pt W Br
1 2 1
direct
0.000 0.000 0.000
0.000 0.500 0.500
0.500 0.000 0.500
0.500 0.500 0.000

---

(7)
HfOsRh2 (GGA-PBEsol, optimized geometry); N(E_F) = 7.99 states/eV/f.u.; crystal system = cubic; calculated total energy = -39.265 eV per cell; space group = Fm-3m
1.0
0.000 3.129 3.129
3.129 0.000 3.129
3.129 3.129 0.000
Hf Os Rh
1 1 2
direct
0.000 0.000 0.000
0.500 0.500 0.500
0.250 0.250 0.250
0.750 0.750 0.750

---

(8)
Zn2CuWO6 (GGA-PBEsol, optimized geometry); N(E_F) = 0.02 states/eV/f.u.; crystal system = triclinic; formation energy without anion corrections = -14.67 eV per formula unit; space group = P1
1.0
4.887 0.000 0.000
-0.008 5.318 0.000
-2.353 -2.312 4.239
Zn Cu W O
2 1 1 6
direct
0.000 0.000 0.000
0.436 0.535 0.007
0.188 0.676 0.454
0.702 0.179 0.461
0.046 0.444 0.588
0.309 0.862 0.271
0.387 0.372 0.276
0.643 0.933 0.047
0.690 0.339 0.836
0.954 0.938 0.600

---

(9)
NdGaSi (GGA-PBEsol, optimized geometry); N(E_F) = 0.42 states/eV/f.u.; crystal system = tetragonal; formation energy without anion corrections = -2.32 eV per formula unit; space group = I4_1md
1.0
-2.076 2.076 7.104
2.076 -2.076 7.104
2.076 2.076 -7.104
Nd Ga Si
2 2 2
direct
0.000 0.000 0.000
0.750 0.250 0.500
0.333 0.833 0.500
0.583 0.583 0.000
0.167 0.667 0.500
0.417 0.417 0.000

---

(10)
AgBr (GGA-PBEsol, optimized geometry); crystal system = hexagonal; formation energy without anion corrections = -0.38 eV per formula unit; space group = P-6m2
1.0
3.836 0.000 0.000
-1.918 3.322 0.000
0.000 0.000 3.612
Ag Br
1 1
direct
0.000 0.000 0.000
0.333 0.667 0.500

---

(11)
LiCaZrAu2 (GGA-PBEsol, optimized geometry); N(E_F) = 3.52 states/eV/f.u.; crystal system = tetragonal; calculated total energy = -18.496 eV per cell; space group = P4/mmm
1.0
5.143 0.000 0.000
0.000 5.143 0.000
0.000 0.000 5.583
Li Ca Zr Au
1 1 1 2
direct
0.000 0.000 0.000
0.500 0.500 0.000
0.500 0.500 0.500
0.000 0.500 0.500
0.500 0.000 0.500

---

(12)
HfGaIr3 (GGA-PBEsol, optimized geometry); N(E_F) = 4.25 states/eV/f.u.; crystal system = cubic; calculated total energy = -35.274 eV per cell; space group = Pm-3m
1.0
4.764 0.000 0.000
0.000 4.764 0.000
0.000 0.000 4.764
Hf Ga Ir
1 1 3
direct
0.000 0.000 0.000
0.500 0.500 0.500
0.000 0.000 0.500
0.000 0.500 0.000
0.500 0.000 0.000

---

(13)
Sc2Si2Se (GGA-PBEsol, optimized geometry); N(E_F) = 1.46 states/eV/f.u.; crystal system = tetragonal; formation energy without anion corrections = -4.21 eV per formula unit; space group = P4/mbm
1.0
7.072 0.000 0.000
0.000 7.072 0.000
0.000 0.000 3.816
Sc Si Se
4 4 2
direct
0.181 0.319 0.000
0.319 0.819 0.000
0.681 0.181 0.000
0.819 0.681 0.000
0.114 0.614 0.500
0.386 0.114 0.500
0.614 0.886 0.500
0.886 0.386 0.500
0.000 0.000 0.000
0.500 0.500 0.000

---

(14)
Cu2TeOs2 (GGA-PBEsol, optimized geometry); N(E_F) = 4.55 states/eV/f.u.; crystal system = tetragonal; formation energy without anion corrections = 3.98 eV per formula unit; space group = I4/mmm
1.0
-1.800 1.800 6.156
1.800 -1.800 6.156
1.800 1.800 -6.156
Cu Te Os
2 1 2
direct
0.099 0.099 0.000
0.901 0.901 0.000
0.500 0.500 0.000
0.250 0.750 0.500
0.750 0.250 0.500

---

(15)
CdAgTe2I (GGA-PBEsol, optimized geometry); N(E_F) = 4.73 states/eV/f.u.; crystal system = tetragonal; formation energy without anion corrections = 2.15 eV per formula unit; space group = P4/mmm
1.0
5.402 0.000 0.000
0.000 5.402 0.000
0.000 0.000 5.426
Cd Ag Te I
1 1 2 1
direct
0.000 0.000 0.000
0.500 0.500 0.500
0.000 0.500 0.500
0.500 0.000 0.500
0.500 0.500 0.000

---

(16)
CoB2W2 (GGA-PBEsol, optimized geometry); N(E_F) = 2.47 states/eV/f.u.; crystal system = orthorhombic; calculated total energy = -52.049 eV per cell; space group = Immm
1.0
-1.580 2.265 3.525
1.580 -2.265 3.525
1.580 2.265 -3.525
Co B W
1 2 2
direct
0.000 0.000 0.000
0.293 0.500 0.793
0.707 0.500 0.207
0.299 0.799 0.500
0.701 0.201 0.500

---

(17)
SrMgHg2 (GGA-PBEsol, optimized geometry); N(E_F) = 2.38 states/eV/f.u.; crystal system = tetragonal; calculated total energy = -5.979 eV per cell; space group = P4mm
1.0
3.910 0.000 0.000
0.000 3.910 0.000
0.000 0.000 6.977
Sr Mg Hg
1 1 2
direct
0.000 0.000 0.000
0.500 0.500 0.658
0.000 0.000 0.506
0.500 0.500 0.246

---

(18)
Cs2KAsF6 (GGA-PBEsol, optimized geometry); N(E_F) = 0.00 states/eV/f.u.; crystal system = cubic; formation energy without anion corrections = -25.73 eV per formula unit; space group = Fm-3m
1.0
0.000 4.593 4.593
4.593 0.000 4.593
4.593 4.593 0.000
Cs K As F
2 1 1 6
direct
0.250 0.250 0.250
0.750 0.750 0.750
0.000 0.000 0.000
0.500 0.500 0.500
0.276 0.276 0.724
0.276 0.724 0.276
0.276 0.724 0.724
0.724 0.276 0.276
0.724 0.276 0.724
0.724 0.724 0.276

---

(19)
LiAlAg2 (GGA-PBEsol, optimized geometry); N(E_F) = 1.01 states/eV/f.u.; crystal system = orthorhombic; calculated total energy = -13.446 eV per cell; space group = Pmmm
1.0
3.073 0.000 0.000
0.000 3.207 0.000
0.000 0.000 6.190
Li Al Ag
1 1 2
direct
0.000 0.000 0.000
0.000 0.000 0.500
0.500 0.500 0.247
0.500 0.500 0.753

---

(20)
TlBS3 (GGA-PBEsol, optimized geometry); N(E_F) = 0.00 states/eV/f.u.; crystal system = monoclinic; formation energy without anion corrections = -1.95 eV per formula unit; space group = P2_1/c
1.0
7.068 0.000 0.000
0.000 12.170 0.000
-2.341 0.000 5.341
Tl B S
4 4 12
direct
0.248 0.090 0.225
0.248 0.410 0.725
0.752 0.590 0.275
0.752 0.910 0.775
0.300 0.730 0.359
0.300 0.770 0.859
0.700 0.230 0.141
0.700 0.270 0.641
0.059 0.682 0.831
0.059 0.818 0.331
0.190 0.599 0.172
0.190 0.901 0.672
0.463 0.699 0.703
0.463 0.801 0.203
0.537 0.199 0.797
0.537 0.301 0.297
0.810 0.099 0.328
0.810 0.401 0.828
0.941 0.182 0.669
0.941 0.318 0.169